(1)
YAlRe2: optimized geometry, PBE.

Values from the calculation:
- calculated volume (Å³/f.u.) = 70.9
- ΔH_f (0 K) (eV/atom) = 0.25

a = 9.8110 Å, b = 9.8110 Å, c = 9.8110 Å
α = 17.06°, β = 17.06°, γ = 17.06°
Last column: nearest neighbours and their distance in Å.
Atoms (fractional coordinates):
Y: 0.0000 0.0000 0.0000  6 Y 2.91, 3 Re 3.19, 3 Al 3.23
Al: 0.7617 0.7617 0.7617  3 Re 2.73, 6 Al 2.91
Re: 0.2399 0.2399 0.2399  9 Re 2.65-2.91
Re: 0.5025 0.5025 0.5025  9 Re 2.65-2.91, 3 Al 2.73

(2)
YAl2Re: optimized geometry, PBE.

Values from the calculation:
- calculated volume (Å³/f.u.) = 73.1
- ΔH_f (0 K) (eV/atom) = 0.07
- relative energy among the computed polymorphs (meV per atom) = 300.5

a = 5.0926 Å, b = 5.0926 Å, c = 5.0926 Å
α = 131.24°, β = 131.24°, γ = 71.44°
Last column: nearest neighbours and their distance in Å.
Atoms (fractional coordinates):
Y: 0.0000 0.0000 0.0000  4 Re 2.95, 8 Al 2.95-2.97
Al: 0.2500 0.7500 0.5000  4 Al 2.95, 4 Y 2.95, 4 Re 2.97
Al: 0.5000 0.5000 0.0000  4 Re 2.95, 4 Al 2.95, 4 Y 2.97
Re: 0.7500 0.2500 0.5000  8 Al 2.95-2.97, 4 Y 2.95

(3)
YAl2Re: optimized geometry, PBE.

Values from the calculation:
- calculated volume (Å³/f.u.) = 73.2
- ΔH_f (0 K) (eV/atom) = 0.08
- relative energy among the computed polymorphs (meV per atom) = 313.1

a = 2.9064 Å, b = 2.9064 Å, c = 9.0569 Å
α = 90.00°, β = 90.00°, γ = 106.98°
Last column: nearest neighbours and their distance in Å.
Atoms (fractional coordinates):
Y: 0.0000 0.0000 0.0000  4 Y 2.91, 4 Al 3.10
Al: 0.5000 0.5000 0.2835  2 Re 2.61, 4 Al 2.91
Al: 0.5000 0.5000 0.7165  2 Re 2.61, 4 Al 2.91
Re: 0.0000 0.0000 0.5000  4 Al 2.61, 4 Re 2.91

(4)
YAl2Re: optimized geometry, PBE.

Values from the calculation:
- calculated volume (Å³/f.u.) = 71.7
- ΔH_f (0 K) (eV/atom) = 0.10
- relative energy among the computed polymorphs (meV per atom) = 331.4

a = 5.2674 Å, b = 5.2674 Å, c = 2.8582 Å
α = 95.09°, β = 95.09°, γ = 113.61°
Last column: nearest neighbours and their distance in Å.
Atoms (fractional coordinates):
Y: 0.0000 0.0000 0.0000  2 Y 2.86, 8 Al 2.88-3.11, 2 Re 2.88
Al: 0.0000 0.5000 0.5000  4 Al 2.86-2.88, 4 Re 2.88-3.11, 4 Y 2.88-3.11
Al: 0.5000 0.0000 0.5000  4 Al 2.86-2.88, 4 Re 2.88-3.11, 4 Y 2.88-3.11
Re: 0.5000 0.5000 0.0000  2 Re 2.86, 8 Al 2.88-3.11, 2 Y 2.88

(5)
YAlRe2: optimized geometry, PBE.

Values from the calculation:
- calculated volume (Å³/f.u.) = 72.8
- ΔH_f (0 K) (eV/atom) = 0.11

a = 3.4018 Å, b = 3.4018 Å, c = 6.2920 Å
α = 90.00°, β = 90.00°, γ = 90.00°
Last column: nearest neighbours and their distance in Å.
Atoms (fractional coordinates):
Y: 0.0000 0.0000 0.0000  8 Re 3.09, 2 Al 3.15, 4 Y 3.40
Al: 0.0000 0.0000 0.5000  8 Re 2.69
Re: 0.5000 0.5000 0.3076  1 Re 2.42, 4 Al 2.69
Re: 0.5000 0.5000 0.6924  1 Re 2.42, 4 Al 2.69

(6)
YAlRe2: optimized geometry, PBE.

Values from the calculation:
- calculated volume (Å³/f.u.) = 70.1
- ΔH_f (0 K) (eV/atom) = 0.45

a = 5.2222 Å, b = 5.2222 Å, c = 2.7870 Å
α = 90.00°, β = 90.00°, γ = 112.77°
Last column: nearest neighbours and their distance in Å.
Atoms (fractional coordinates):
Y: 0.0000 0.0000 0.0000  2 Y 2.79, 2 Al 2.89, 8 Re 2.96
Al: 0.5000 0.5000 0.0000  2 Al 2.79, 2 Y 2.89, 8 Re 2.96
Re: 0.0000 0.5000 0.5000  4 Re 2.79-2.89, 4 Al 2.96, 4 Y 2.96
Re: 0.5000 0.0000 0.5000  4 Re 2.79-2.89, 4 Al 2.96, 4 Y 2.96

(7)
YAlRe2: optimized geometry, PBE.

Values from the calculation:
- calculated volume (Å³/f.u.) = 72.5
- ΔH_f (0 K) (eV/atom) = -0.13

a = 3.1068 Å, b = 3.1068 Å, c = 7.5079 Å
α = 90.00°, β = 90.00°, γ = 90.00°
Last column: nearest neighbours and their distance in Å.
Atoms (fractional coordinates):
Y: 0.0000 0.0000 0.0000  4 Y 3.11, 4 Re 3.11, 4 Al 3.18
Al: 0.5000 0.5000 0.3059  5 Re 2.71-3.01
Re: 0.0000 0.0000 0.5181  4 Re 2.61, 4 Al 2.71
Re: 0.5000 0.5000 0.7066  4 Re 2.61

(8)
YAlRe2: optimized geometry, PBE.

Values from the calculation:
- calculated volume (Å³/f.u.) = 78.0
- ΔH_f (0 K) (eV/atom) = 0.13

a = 4.9335 Å, b = 4.9335 Å, c = 5.2094 Å
α = 102.14°, β = 102.14°, γ = 39.15°
Last column: nearest neighbours and their distance in Å.
Atoms (fractional coordinates):
Y: 0.0000 0.0000 0.0000  4 Al 3.08, 6 Re 3.12-3.13, 2 Y 3.31
Al: 0.5000 0.5000 0.5000  6 Re 2.75
Re: 0.2391 0.2391 0.6649  2 Re 2.42
Re: 0.7609 0.7609 0.3351  2 Re 2.42

(9)
YAl2Re: optimized geometry, PBE.

Values from the calculation:
- calculated volume (Å³/f.u.) = 70.7
- ΔH_f (0 K) (eV/atom) = -0.13
- relative energy among the computed polymorphs (meV per atom) = 98.8

a = 4.8108 Å, b = 4.8108 Å, c = 4.8108 Å
α = 125.78°, β = 125.78°, γ = 80.24°
Last column: nearest neighbours and their distance in Å.
Atoms (fractional coordinates):
Y: 0.0000 0.0000 0.0000  8 Al 2.86, 4 Re 3.10
Al: 0.2500 0.7500 0.5000  4 Re 2.86, 4 Y 2.86, 4 Al 3.10
Al: 0.7500 0.2500 0.5000  4 Re 2.86, 4 Y 2.86, 4 Al 3.10
Re: 0.5000 0.5000 0.0000  8 Al 2.86, 4 Y 3.10

(10)
YAlRe2: optimized geometry, PBE.

Values from the calculation:
- calculated volume (Å³/f.u.) = 71.8
- ΔH_f (0 K) (eV/atom) = 0.10

a = 5.5770 Å, b = 5.5770 Å, c = 5.5770 Å
α = 146.91°, β = 130.07°, γ = 61.21°
Last column: nearest neighbours and their distance in Å.
Atoms (fractional coordinates):
Y: 0.0000 0.0000 0.0000  6 Re 2.85-3.02, 4 Al 3.13-3.17, 2 Y 3.18
Al: 0.7148 0.2148 0.5000  6 Re 2.77-2.88
Re: 0.2678 0.7678 0.5000  2 Re 2.57
Re: 0.4787 0.4787 0.0000  2 Re 2.57, 2 Al 2.77, 4 Y 2.85

(11)
YAl2Re: optimized geometry, PBE.

Values from the calculation:
- calculated volume (Å³/f.u.) = 73.8
- ΔH_f (0 K) (eV/atom) = 0.27
- relative energy among the computed polymorphs (meV per atom) = 493.2

a = 9.7586 Å, b = 9.7586 Å, c = 9.7586 Å
α = 17.56°, β = 17.56°, γ = 17.56°
Last column: nearest neighbours and their distance in Å.
Atoms (fractional coordinates):
Y: 0.0000 0.0000 0.0000  6 Y 2.98, 3 Re 3.12, 3 Al 3.21
Al: 0.5064 0.5064 0.5064  3 Re 2.65, 3 Al 2.85
Al: 0.7607 0.7607 0.7607  9 Al 2.85-2.98
Re: 0.2428 0.2428 0.2428  3 Al 2.65

(12)
YAl2Re: optimized geometry, PBE.

Values from the calculation:
- calculated volume (Å³/f.u.) = 73.6
- ΔH_f (0 K) (eV/atom) = -0.19
- relative energy among the computed polymorphs (meV per atom) = 40.5

a = 3.2001 Å, b = 3.2001 Å, c = 7.1905 Å
α = 90.00°, β = 90.00°, γ = 90.00°
Last column: nearest neighbours and their distance in Å.
Atoms (fractional coordinates):
Y: 0.0000 0.0000 0.0000  8 Al 3.18, 4 Y 3.20
Al: 0.5000 0.5000 0.3113  4 Re 2.64, 1 Al 2.71
Al: 0.5000 0.5000 0.6887  4 Re 2.64, 1 Al 2.71
Re: 0.0000 0.0000 0.5000  8 Al 2.64

(13)
YAl2Re: optimized geometry, PBE.

Values from the calculation:
- calculated volume (Å³/f.u.) = 70.4
- ΔH_f (0 K) (eV/atom) = -0.11
- relative energy among the computed polymorphs (meV per atom) = 120.6

a = 4.6345 Å, b = 4.6345 Å, c = 4.6345 Å
α = 60.00°, β = 60.00°, γ = 60.00°
Last column: nearest neighbours and their distance in Å.
Atoms (fractional coordinates):
Y: 0.0000 0.0000 0.0000  8 Al 2.84
Al: 0.2500 0.2500 0.2500  4 Re 2.84, 4 Y 2.84
Al: 0.7500 0.7500 0.7500  4 Re 2.84, 4 Y 2.84
Re: 0.5000 0.5000 0.5000  8 Al 2.84